Entry 1:
{
  "formula": "ScCrIn3",
  "functional": "PBE-GGA",
  "state": "optimized geometry",
  "ef_kj_per_mol_atoms": 43.2,
  "space_group": "Pm-3m",
  "lattice": [[5.001, 0.000, 0.000], [0.000, 5.001, 0.000], [0.000, 0.000, 5.001]],
  "species": ["Sc", "Cr", "In", "In", "In"],
  "frac_coords": [[0.000, 0.000, 0.000], [0.500, 0.500, 0.500], [0.000, 0.500, 0.500], [0.500, 0.000, 0.500], [0.500, 0.500, 0.000]]
}

***

Entry 2:
{
  "formula": "ScCrIn3",
  "functional": "PBE-GGA",
  "state": "optimized geometry",
  "ef_kj_per_mol_atoms": 86.4,
  "space_group": "Pm-3m",
  "lattice": [[5.511, 0.000, 0.000], [0.000, 5.511, 0.000], [0.000, 0.000, 5.511]],
  "species": ["Sc", "Cr", "In", "In", "In"],
  "frac_coords": [[0.000, 0.000, 0.000], [0.500, 0.500, 0.500], [0.000, 0.000, 0.500], [0.000, 0.500, 0.000], [0.500, 0.000, 0.000]]
}

***

Entry 3:
{
  "formula": "ScCr2In2",
  "functional": "PBE-GGA",
  "state": "optimized geometry",
  "ef_kj_per_mol_atoms": 26.1,
  "space_group": "P4/mbm",
  "lattice": [[7.770, 0.000, 0.000], [0.000, 7.770, 0.000], [0.000, 0.000, 3.031]],
  "species": ["Sc", "Sc", "Cr", "Cr", "Cr", "Cr", "In", "In", "In", "In"],
  "frac_coords": [[0.000, 0.000, 0.000], [0.500, 0.500, 0.000], [0.092, 0.408, 0.000], [0.408, 0.908, 0.000], [0.592, 0.092, 0.000], [0.908, 0.592, 0.000], [0.194, 0.694, 0.500], [0.306, 0.194, 0.500], [0.694, 0.806, 0.500], [0.806, 0.306, 0.500]]
}

***

Entry 4:
{
  "formula": "Sc4CrIn",
  "functional": "PBE-GGA",
  "state": "optimized geometry",
  "ef_kj_per_mol_atoms": 34.4,
  "space_group": "F-43m",
  "lattice": [[0.000, 4.095, 4.095], [4.095, 0.000, 4.095], [4.095, 4.095, 0.000]],
  "species": ["Sc", "Sc", "Sc", "Sc", "Cr", "In"],
  "frac_coords": [[0.124, 0.124, 0.124], [0.124, 0.124, 0.627], [0.124, 0.627, 0.124], [0.627, 0.124, 0.124], [0.750, 0.750, 0.750], [0.500, 0.500, 0.500]]
}

***

Entry 5:
{
  "formula": "ScCr4In",
  "functional": "PBE-GGA",
  "state": "optimized geometry",
  "ef_kj_per_mol_atoms": 15.8,
  "space_group": "F-43m",
  "lattice": [[0.000, 3.532, 3.532], [3.532, 0.000, 3.532], [3.532, 3.532, 0.000]],
  "species": ["Sc", "Cr", "Cr", "Cr", "Cr", "In"],
  "frac_coords": [[0.000, 0.000, 0.000], [0.127, 0.624, 0.624], [0.624, 0.127, 0.624], [0.624, 0.624, 0.127], [0.624, 0.624, 0.624], [0.250, 0.250, 0.250]]
}

***

Entry 6:
{
  "formula": "Sc2CrInSi",
  "functional": "PBE-GGA",
  "state": "optimized geometry",
  "raw_formation_energy_ev_per_atom": 1.04,
  "space_group": "P4/mmm",
  "lattice": [[5.356, 0.000, 0.000], [0.000, 5.356, 0.000], [0.000, 0.000, 4.892]],
  "species": ["Sc", "Sc", "Cr", "In", "Si"],
  "frac_coords": [[0.000, 0.500, 0.000], [0.500, 0.000, 0.000], [0.000, 0.000, 0.500], [0.500, 0.500, 0.000], [0.500, 0.500, 0.500]]
}

***

Entry 7:
{
  "formula": "ScCrIn2Sn",
  "functional": "PBE-GGA",
  "state": "optimized geometry",
  "ef_kj_per_mol_atoms": 37.6,
  "space_group": "P4/mmm",
  "lattice": [[5.187, 0.000, 0.000], [0.000, 5.187, 0.000], [0.000, 0.000, 4.632]],
  "species": ["Sc", "Cr", "In", "In", "Sn"],
  "frac_coords": [[0.000, 0.000, 0.000], [0.000, 0.000, 0.500], [0.000, 0.500, 0.500], [0.500, 0.000, 0.500], [0.500, 0.500, 0.000]]
}

***

Entry 8:
{
  "formula": "Sc2TaCrIn",
  "functional": "PBE-GGA",
  "state": "optimized geometry",
  "ef_kj_per_mol_atoms": 84.4,
  "space_group": "P4/mmm",
  "lattice": [[4.583, 0.000, 0.000], [0.000, 4.583, 0.000], [0.000, 0.000, 5.051]],
  "species": ["Sc", "Sc", "Ta", "Cr", "In"],
  "frac_coords": [[0.000, 0.500, 0.000], [0.500, 0.000, 0.000], [0.000, 0.000, 0.500], [0.500, 0.500, 0.000], [0.500, 0.500, 0.500]]
}

***

| no. | M_tot (μB/cell) | E (eV/atom) |
| --- | --- | --- |
| 1 | 0.00 | -4.386 |
| 2 | 4.03 | -3.939 |
| 3 | 1.52 | -5.941 |
| 4 | 3.89 | -5.925 |
| 5 | 0.00 | -7.764 |
| 6 | 5.01 | -5.050 |
| 7 | 0.00 | -4.698 |
| 8 | 0.00 | -6.500 |